## NdEr6Tm12 (GGA-PBE)

Data for a relaxed structure of NdEr6Tm12.

Lattice parameters (Å, degrees): 9.1583 9.1583 9.1583 107.23 107.23 107.23
With the nearest neighbours (Å) after each atom.
Sites, in units of the cell vectors:
1 Nd 0.0000 0.0000 0.0000  6 Tm 3.43
2 Er 0.2767 0.6895 0.6895  8 Tm 3.17-3.51
3 Er 0.3105 0.3105 0.7233  8 Tm 3.17-3.51
4 Er 0.3105 0.7233 0.3105  8 Tm 3.17-3.51
5 Er 0.6895 0.2767 0.6895  8 Tm 3.17-3.51
6 Er 0.6895 0.6895 0.2767  8 Tm 3.17-3.51
7 Er 0.7233 0.3105 0.3105  8 Tm 3.17-3.51
8 Tm 0.1117 0.5000 0.8883  4 Er 3.25-3.37, 3 Tm 3.29-3.49
9 Tm 0.1117 0.8883 0.5000  4 Er 3.25-3.37, 3 Tm 3.29-3.49
10 Tm 0.1306 0.3563 0.3563  4 Er 3.17-3.51, 4 Tm 3.33-3.49, 1 Nd 3.43
11 Tm 0.3563 0.1306 0.3563  4 Er 3.17-3.51, 4 Tm 3.33-3.49, 1 Nd 3.43
12 Tm 0.3563 0.3563 0.1306  4 Er 3.17-3.51, 4 Tm 3.33-3.49, 1 Nd 3.43
13 Tm 0.5000 0.1117 0.8883  4 Er 3.25-3.37, 3 Tm 3.29-3.49
14 Tm 0.5000 0.8883 0.1117  4 Er 3.25-3.37, 3 Tm 3.29-3.49
15 Tm 0.6437 0.6437 0.8694  4 Er 3.17-3.51, 4 Tm 3.33-3.49, 1 Nd 3.43
16 Tm 0.6437 0.8694 0.6437  4 Er 3.17-3.51, 4 Tm 3.33-3.49, 1 Nd 3.43
17 Tm 0.8694 0.6437 0.6437  4 Er 3.17-3.51, 4 Tm 3.33-3.49, 1 Nd 3.43
18 Tm 0.8883 0.1117 0.5000  4 Er 3.25-3.37, 3 Tm 3.29-3.49
19 Tm 0.8883 0.5000 0.1117  4 Er 3.25-3.37, 3 Tm 3.29-3.49

symmetry = R-3m
DFT formation energy = 442.5 meV/atom
polymorph energy (0 for the lowest one) = 0.278 eV/atom